Material: La3SnRh
Method: DFT, PBEsol
State: relaxed

Results
symmetry: Pm-3m
E_form: -515 meV per atom

Cell lengths 5.409, 5.409, 5.409 Å; angles 90.00, 90.00, 90.00 degrees
Atoms (fractional coordinates):
La  0.000  0.000  0.500
La  0.000  0.500  0.000
La  0.500  0.000  0.000
Sn  0.500  0.500  0.500
Rh  0.000  0.000  0.000